The following is a DFT calculation (PBE) of a relaxed structure of TlGeRu2O8.

```
TlGeRu2O8
1.0
5.014 -0.478 0.568
1.889 4.669 0.568
1.281 0.778 7.103
Tl Ge Ru O
1 1 2 8
direct
0.000 0.000 0.500
0.000 0.000 0.000
0.553 0.553 0.264
0.447 0.447 0.736
0.794 0.275 0.796
0.766 0.766 0.044
0.654 0.654 0.453
0.346 0.346 0.547
0.234 0.234 0.956
0.275 0.794 0.796
0.725 0.206 0.204
0.206 0.725 0.204
```

Results
ρ	6.02	g/cm3
formation energy (no corrections)	-0.83	eV/atom